Computed, not measured: an optimized crystal structure of ScGa2Cu at the PBE-GGA level of DFT.

Summary:
spin magnetization	0.10	μB per atom
density of states at the Fermi level	1.41	states/eV per cell
energy relative to the elements	-0.319	eV/atom

Cell and atoms, written as CIF:
```
data_ScGa2Cu
_symmetry_space_group_name_H-M 'P 4/m m m'
_symmetry_Int_Tables_number 123
_symmetry_space_group_name_Hall '-P 4 2'
_cell_length_a 3.041
_cell_length_b 3.041
_cell_length_c 7.007
_cell_angle_alpha 90.00
_cell_angle_beta 90.00
_cell_angle_gamma 90.00
loop_
_atom_site_label
_atom_site_type_symbol
_atom_site_fract_x
_atom_site_fract_y
_atom_site_fract_z
_atom_site_occupancy
Sc1 Sc 0.000 0.000 0.000 1
Ga1 Ga 0.500 0.500 0.284 1
Cu1 Cu 0.000 0.000 0.500 1
```